## KInNiF6 (PBE with a Hubbard U)

Data for crystalline KInNiF6 at its relaxed geometry.

```
data_KInNiF6
_chemical_formula_sum 'K4 In4 Ni4 F24'
_symmetry_space_group_name_H-M 'I m m a'
_symmetry_Int_Tables_number 74
_symmetry_space_group_name_Hall '-I 2b 2'
_cell_length_a 7.430
_cell_length_b 7.809
_cell_length_c 10.724
_cell_angle_alpha 90.00
_cell_angle_beta 90.00
_cell_angle_gamma 90.00
loop_
_atom_site_label
_atom_site_fract_x
_atom_site_fract_y
_atom_site_fract_z
K1 0.000 0.250 0.056
In1 0.000 0.000 0.500
Ni1 0.250 0.250 0.750
F1 0.000 0.250 0.418
F2 0.000 0.250 0.809
F3 0.213 0.064 0.619
```

As for the total energy: -4.4409 eV per atom. For the magnetic moment, the calculation gives 2.0 μB/f.u.

***

## K2InNiF6 (PBE with a Hubbard U)

Data for crystalline K2InNiF6 at its relaxed geometry.

```
data_K2InNiF6
_chemical_formula_sum 'K8 In4 Ni4 F24'
_symmetry_space_group_name_H-M 'F m -3 m'
_symmetry_Int_Tables_number 225
_symmetry_space_group_name_Hall '-F 4 2 3'
_cell_length_a 8.613
_cell_length_b 8.613
_cell_length_c 8.613
_cell_angle_alpha 90.00
_cell_angle_beta 90.00
_cell_angle_gamma 90.00
loop_
_atom_site_label
_atom_site_fract_x
_atom_site_fract_y
_atom_site_fract_z
K1 0.250 0.250 0.250
In1 0.000 0.000 0.000
Ni1 0.000 0.000 0.500
F1 0.000 0.000 0.263
```

As for the total energy: -4.2771 eV per atom. For the magnetic moment, the calculation gives 1.4 μB/f.u.

***

## K2InNi3F12 (PBE with a Hubbard U)

Data for crystalline K2InNi3F12 at its relaxed geometry.

```
data_K2InNi3F12
_chemical_formula_sum 'K6 In3 Ni9 F36'
_symmetry_space_group_name_H-M 'R -3 m'
_symmetry_Int_Tables_number 166
_symmetry_space_group_name_Hall '-R 3 2"'
_cell_length_a 7.2517
_cell_length_b 7.2517
_cell_length_c 18.4480
_cell_angle_alpha 90.00
_cell_angle_beta 90.00
_cell_angle_gamma 120.00
loop_
_atom_site_label
_atom_site_fract_x
_atom_site_fract_y
_atom_site_fract_z
K1 0.0000 0.0000 0.1156
In1 0.0000 0.0000 0.5000
Ni1 0.0000 0.5000 0.0000
F1 0.0447 0.5223 0.1088
F2 0.0694 0.5347 0.3487
```

As for the total energy: -4.2626 eV per atom. For the magnetic moment, the calculation gives 5.0 μB/f.u.

***

Question: Among the records above, which one has the lowest magnetic moment?
Answer: K2InNiF6